Record 1
An optimized crystal structure of PmSc2Ag3Te6, computed with GGA-PBE.

Cell: 7.484 7.484 7.409 Å, 99.56 99.56 120.11°
Fractional coordinates of all 12 atoms:
Pm 0.000 0.000 0.000
Sc 0.331 0.669 0.000
Sc 0.669 0.331 0.000
Ag 0.157 0.843 0.500
Ag 0.500 0.500 0.500
Ag 0.843 0.157 0.500
Te 0.081 0.434 0.247
Te 0.271 0.271 0.753
Te 0.434 0.081 0.247
Te 0.566 0.919 0.753
Te 0.729 0.729 0.247
Te 0.919 0.566 0.753

Final energy: -53.89 eV per cell
Space-group type: C2/m, No. 12
Raw formation energy: -0.756 eV/atom
M_tot: 0.0 μB per cell

---

Record 2
An optimized crystal structure of PmScTlAg, computed with GGA-PBE.

Cell: 5.203 5.203 5.203 Å, 60.00 60.00 60.00°
Fractional coordinates of all 4 atoms:
Pm 0.000 0.000 0.000
Sc 0.500 0.500 0.500
Tl 0.750 0.750 0.750
Ag 0.250 0.250 0.250

Final energy: -17.46 eV per cell
Space-group type: F-43m, No. 216
E_form: -0.29 eV per atom
M_tot: 0.4 μB per cell

---

Record 3
An optimized crystal structure of PmScTlAg, computed with GGA-PBE.

Cell: 3.586 3.586 7.633 Å, 90.00 90.00 90.00°
Fractional coordinates of all 4 atoms:
Pm 0.000 0.000 0.000
Sc 0.000 0.000 0.532
Tl 0.500 0.500 0.287
Ag 0.500 0.500 0.726

Final energy: -17.52 eV per cell
Space-group type: P4mm, No. 99
E_form: -0.30 eV per atom
M_tot: 0.3 μB per cell

---

Record 4
An optimized crystal structure of PmTmScAg, computed with GGA-PBE.

Cell: 5.225 5.225 5.225 Å, 60.00 60.00 60.00°
Fractional coordinates of all 4 atoms:
Pm 0.000 0.000 0.000
Tm 0.250 0.250 0.250
Sc 0.750 0.750 0.750
Ag 0.500 0.500 0.500

Final energy: -17.98 eV per cell
Space-group type: F-43m, No. 216
E_form: 0.11 eV per atom
M_tot: 2.3 μB per cell

---

Record 5
An optimized crystal structure of PmYScAg, computed with GGA-PBE.

Cell: 5.326 5.326 5.326 Å, 60.00 60.00 60.00°
Fractional coordinates of all 4 atoms:
Pm 0.000 0.000 0.000
Y 0.500 0.500 0.500
Sc 0.250 0.250 0.250
Ag 0.750 0.750 0.750

Final energy: -20.27 eV per cell
Space-group type: F-43m, No. 216
E_form: 0.03 eV per atom
M_tot: 0.0 μB per cell

---

Record 6
An optimized crystal structure of PmScZnAg, computed with GGA-PBE.

Cell: 5.036 5.036 5.036 Å, 60.00 60.00 60.00°
Fractional coordinates of all 4 atoms:
Pm 0.000 0.000 0.000
Sc 0.500 0.500 0.500
Zn 0.750 0.750 0.750
Ag 0.250 0.250 0.250

Final energy: -16.27 eV per cell
Space-group type: F-43m, No. 216
E_form: -0.27 eV per atom
M_tot: 0.0 μB per cell